Below is a geometry-optimized LiFeRe2 structure, with properties calculated at the PBE-GGA level.

Lattice parameters (Å, degrees): 2.5925 2.5925 8.8752 90.00 90.00 109.11
With the nearest neighbours (Å) after each atom.
Element x y z (fractional)
Fe  0.5000  0.5000  0.2500  4 Re 2.58, 4 Fe 2.59
Li  0.5000  0.5000  0.7500  4 Li 2.59, 4 Re 2.78
Re  0.0000  0.0000  0.0136  2 Fe 2.58, 4 Re 2.59, 2 Li 2.78
Re  0.0000  0.0000  0.4864  2 Fe 2.58, 4 Re 2.59, 2 Li 2.78

Excess energy over the best structure of this formula in the dataset (eV/atom): 0.0233
DFT formation energy (eV/atom): 0.230
Space-group type: No. 65

=====

Below is a geometry-optimized LiFeRe2 structure, with properties calculated at the PBE-GGA level.

Lattice parameters (Å, degrees): 4.2564 2.5672 5.0441 79.37 90.00 90.00
With the nearest neighbours (Å) after each atom.
Element x y z (fractional)
Fe  0.5000  0.2500  0.2500  2 Fe 2.57, 4 Re 2.61, 2 Li 2.61
Li  0.5000  0.7500  0.7500  2 Li 2.57, 2 Fe 2.61, 4 Re 2.62
Re  0.0000  0.0143  0.9969  4 Re 2.56-2.66, 2 Fe 2.61, 2 Li 2.62
Re  0.0000  0.4857  0.5031  4 Re 2.56-2.66, 2 Fe 2.61, 2 Li 2.62

Excess energy over the best structure of this formula in the dataset (eV/atom): 0.0266
DFT formation energy (eV/atom): 0.234
Space-group type: No. 10

=====

Number 1: theoretical density 12.821 g/cm3. Number 2: theoretical density 13.340 g/cm3.